Ac2La3PmTe6: optimized geometry, PBE.

Output
Total magnetization: 0.00 μB per formula unit
Total DFT energy (no corrections): -5.41 eV/atom
E_form (uncorrected): -18.3 eV/f.u.

Unit cell a=7.971 b=13.877 c=8.005 alpha=90.00 beta=109.60 gamma=90.00
Space group C2/m (No. 12)
Asymmetric unit:
Ac  0.000  0.165  0.000 (multiplicity 4)
La  0.000  0.000  0.500 (multiplicity 2)
La  0.000  0.328  0.500 (multiplicity 4)
Pm  0.000  0.500  0.000 (multiplicity 2)
Te  0.237  0.500  0.742 (multiplicity 4)
Te  0.245  0.338  0.252 (multiplicity 8)


Ac3La3PmTe8: optimized geometry, PBE.

Output
Total magnetization: 0.00 μB per formula unit
Total DFT energy (no corrections): -5.35 eV/atom
E_form (uncorrected): -23.2 eV/f.u.

Unit cell a=9.2307 b=9.2307 c=22.9131 alpha=90.00 beta=90.00 gamma=120.00
Space group R-3m (No. 166, hexagonal axes)
Asymmetric unit:
Ac  0.0000  0.5000  0.0000 (multiplicity 9)
La  0.0000  0.5000  0.5000 (multiplicity 9)
Pm  0.0000  0.0000  0.5000 (multiplicity 3)
Te  0.0000  0.0000  0.2467 (multiplicity 6)
Te  0.9998  0.4999  0.2469 (multiplicity 18)


AcLa4Pm3Te8: optimized geometry, PBE.

Output
Total magnetization: 0.00 μB per formula unit
Total DFT energy (no corrections): -5.45 eV/atom
E_form (uncorrected): -24.1 eV/f.u.

Unit cell a=9.1352 b=9.1352 c=22.2832 alpha=90.00 beta=90.00 gamma=120.00
Space group R-3m (No. 166, hexagonal axes)
Asymmetric unit:
Ac  0.0000  0.0000  0.0000 (multiplicity 3)
La  0.0000  0.0000  0.5000 (multiplicity 3)
La  0.0000  0.5000  0.5000 (multiplicity 9)
Pm  0.0000  0.5000  0.0000 (multiplicity 9)
Te  0.0000  0.0000  0.2524 (multiplicity 6)
Te  0.0078  0.5039  0.2506 (multiplicity 18)


Ac2LaPmTe5: optimized geometry, PBE.

Output
Total magnetization: 0.19 μB per formula unit
Total DFT energy (no corrections): -4.74 eV/atom
E_form (uncorrected): -9.1 eV/f.u.

Unit cell a=5.626 b=5.626 c=11.978 alpha=90.00 beta=90.00 gamma=90.00
Space group P4/mmm (No. 123)
Asymmetric unit:
Ac  0.000  0.000  0.188 (multiplicity 2)
La  0.500  0.500  0.500 (multiplicity 1)
Pm  0.500  0.500  0.000 (multiplicity 1)
Te  0.000  0.000  0.500 (multiplicity 1)
Te  0.000  0.500  0.000 (multiplicity 2)
Te  0.500  0.500  0.252 (multiplicity 2)


Ac4La3PmTe8: optimized geometry, PBE.

Output
Total magnetization: 0.00 μB per formula unit
Total DFT energy (no corrections): -5.33 eV/atom
E_form (uncorrected): -24.2 eV/f.u.

Unit cell a=9.2772 b=9.2772 c=22.8198 alpha=90.00 beta=90.00 gamma=120.00
Space group R-3m (No. 166, hexagonal axes)
Asymmetric unit:
Ac  0.0000  0.0000  0.0000 (multiplicity 3)
Ac  0.0000  0.5000  0.0000 (multiplicity 9)
La  0.0000  0.5000  0.5000 (multiplicity 9)
Pm  0.0000  0.0000  0.5000 (multiplicity 3)
Te  0.0000  0.0000  0.2467 (multiplicity 6)
Te  0.0034  0.5017  0.2459 (multiplicity 18)


AcLa4Pm2Th: optimized geometry, PBE.

Output
Total magnetization: 0.00 μB per formula unit
ΔE_f: 0.043 eV per atom
Total DFT energy (no corrections): -5.05 eV/atom

Unit cell a=11.815 b=5.227 c=10.550 alpha=90.00 beta=116.52 gamma=90.00
Space group C2/m (No. 12)
Asymmetric unit:
Ac  0.000  0.000  0.000 (multiplicity 2)
La  0.244  0.000  0.864 (multiplicity 4)
La  0.245  0.500  0.616 (multiplicity 4)
Pm  0.003  0.500  0.737 (multiplicity 4)
Th  0.000  0.000  0.500 (multiplicity 2)


Ac2LaPmTl4: optimized geometry, PBE.

Output
Total magnetization: 0.00 μB per formula unit
ΔE_f: -0.361 eV per atom
Total DFT energy (no corrections): -3.78 eV/atom

Unit cell a=5.7217 b=5.7217 c=27.9888 alpha=90.00 beta=90.00 gamma=120.00
Space group R-3m (No. 166, hexagonal axes)
Asymmetric unit:
Ac  0.0000  0.0000  0.2504 (multiplicity 6)
La  0.0000  0.0000  0.5000 (multiplicity 3)
Pm  0.0000  0.0000  0.0000 (multiplicity 3)
Tl  0.0000  0.0000  0.1241 (multiplicity 6)
Tl  0.0000  0.0000  0.3741 (multiplicity 6)


AcLa2PmTl2: optimized geometry, PBE.

Output
Total magnetization: 0.00 μB per formula unit
ΔE_f: -0.263 eV per atom
Total DFT energy (no corrections): -4.17 eV/atom

Unit cell a=5.524 b=10.087 c=7.293 alpha=90.00 beta=90.00 gamma=90.00
Space group Pmc2_1 (No. 26)
Asymmetric unit:
Ac  0.000  0.038  0.000 (multiplicity 2)
La  0.000  0.336  0.301 (multiplicity 2)
La  0.500  0.461  0.016 (multiplicity 2)
Pm  0.500  0.176  0.712 (multiplicity 2)
Tl  0.000  0.340  0.768 (multiplicity 2)
Tl  0.500  0.154  0.254 (multiplicity 2)


AcLaPmTl: optimized geometry, PBE.

Output
Total magnetization: 0.00 μB per formula unit
ΔE_f: -0.052 eV per atom
Total DFT energy (no corrections): -4.09 eV/atom

Unit cell a=9.538 b=6.126 c=6.126 alpha=90.00 beta=129.81 gamma=90.00
Space group Cm (No. 8)
Asymmetric unit:
Ac  0.000  0.000  0.000 (multiplicity 2)
La  0.250  0.000  0.749 (multiplicity 2)
Pm  0.250  0.500  0.251 (multiplicity 2)
Tl  0.000  0.500  0.500 (multiplicity 2)


Ac2LaPmTl2: optimized geometry, PBE.

Output
Total magnetization: 0.00 μB per formula unit
ΔE_f: -0.243 eV per atom
Total DFT energy (no corrections): -4.01 eV/atom

Unit cell a=5.538 b=10.439 c=7.333 alpha=90.00 beta=90.00 gamma=90.00
Space group Pmc2_1 (No. 26)
Asymmetric unit:
Ac  0.000  0.050  0.000 (multiplicity 2)
Ac  0.500  0.177  0.297 (multiplicity 2)
La  0.500  0.459  0.949 (multiplicity 2)
Pm  0.000  0.325  0.663 (multiplicity 2)
Tl  0.000  0.367  0.201 (multiplicity 2)
Tl  0.500  0.162  0.761 (multiplicity 2)